VASP calculation (GGA-PBE) on a relaxed structure of HoEr3Tm7.

Structure (CIF):
```
data_HoEr3Tm7
_cell_length_a 6.9283
_cell_length_b 6.9283
_cell_length_c 8.4546
_cell_angle_alpha 90.00
_cell_angle_beta 90.00
_cell_angle_gamma 120.00
_symmetry_space_group_name_H-M 'P 3 m 1'
_symmetry_Int_Tables_number 156
_symmetry_space_group_name_Hall 'P 3 -2"'
loop_
_atom_site_label
_atom_site_type_symbol
_atom_site_fract_x
_atom_site_fract_y
_atom_site_fract_z
Ho1 Ho 0.0000 0.0000 0.0000
Er1 Er 0.1668 0.3336 0.6640
Tm1 Tm 0.0023 0.5011 0.9995
Tm2 Tm 0.3311 0.1655 0.3295
Tm3 Tm 0.3333 0.6667 0.3287
```

Results
* final energy: -4.307 eV per atom
* magnetization: 0.00 μB/atom
* ΔH_f (0 K): 0.20 eV/atom
* crystal system: trigonal
* energy above the lowest structure with this stoichiometry: 0.037 eV/atom